No. 1
{"formula": "Tb12Sb6Rh", "functional": "PBE-GGA", "state": "optimized geometry", "magmom_total_mub_per_fu": 0.0, "formation_energy_uncorrected_ev_per_atom": -0.689, "sg": "R-3, No. 148", "lattice": [[-4.2128, -4.2446, -6.1622], [7.5845, -4.0060, -0.4049], [-3.3039, -3.8472, 6.9297]], "species": ["Sb", "Sb", "Sb", "Sb", "Sb", "Sb", "Tb", "Tb", "Tb", "Tb", "Tb", "Tb", "Tb", "Tb", "Tb", "Tb", "Tb", "Tb", "Rh"], "fractional_positions": [[0.3564, 0.6852, 0.8785], [0.6436, 0.3148, 0.1215], [0.1215, 0.6436, 0.3148], [0.8785, 0.3564, 0.6852], [0.6852, 0.8785, 0.3564], [0.3148, 0.1215, 0.6436], [0.6858, 0.9404, 0.0132], [0.9404, 0.0132, 0.6858], [0.8047, 0.5844, 0.4510], [0.3142, 0.0596, 0.9868], [0.4156, 0.5490, 0.1953], [0.1953, 0.4156, 0.5490], [0.4510, 0.8047, 0.5844], [0.0132, 0.6858, 0.9404], [0.5844, 0.4510, 0.8047], [0.5490, 0.1953, 0.4156], [0.9868, 0.3142, 0.0596], [0.0596, 0.9868, 0.3142], [0.0000, 0.0000, 0.0000]]}


No. 2
{"formula": "Tb8Y3Th", "functional": "PBE-GGA", "state": "optimized geometry", "magmom_total_mub_per_fu": 0.0, "formation_enthalpy_0k_ev_per_fu": 3.97, "sg": "Immm, No. 71", "lattice": [[8.2850, -1.3127, -2.1998], [-5.9583, 6.1577, -1.3365], [1.2587, 1.3127, 8.4792]], "species": ["Tb", "Tb", "Tb", "Tb", "Tb", "Tb", "Tb", "Tb", "Th", "Y", "Y", "Y"], "fractional_positions": [[0.5008, 0.7561, 0.7445], [0.0116, 0.7562, 0.2555], [0.8313, 0.7507, 0.5823], [0.4992, 0.2438, 0.2554], [0.1687, 0.7509, 0.9194], [0.8315, 0.2493, 0.0806], [0.1685, 0.2491, 0.4177], [0.9884, 0.2439, 0.7446], [0.0000, 0.0000, 0.0000], [0.0000, 0.5000, 0.5000], [0.5000, 0.7456, 0.2456], [0.5000, 0.2544, 0.7544]]}


No. 3
{"formula": "PaGa2Pd2", "functional": "PBE-GGA", "state": "optimized geometry", "polymorph_energy_ev_per_fu": 0.000, "magmom_total_mub_per_fu": 0.0, "formation_enthalpy_0k_ev_per_fu": -2.92, "sg": "P4/nmm, No. 129", "lattice": [[4.0755, 0.0000, 0.0000], [0.0000, 4.0755, 0.0000], [0.0000, 0.0000, 11.1091]], "species": ["Pd", "Pd", "Pd", "Pd", "Ga", "Ga", "Ga", "Ga", "Pa", "Pa"], "fractional_positions": [[0.5000, 0.0000, 0.8551], [0.5000, 0.5000, 0.5000], [0.0000, 0.0000, 0.5000], [0.0000, 0.5000, 0.1449], [0.5000, 0.0000, 0.6334], [0.5000, 0.5000, 0.0000], [0.0000, 0.5000, 0.3666], [0.0000, 0.0000, 0.0000], [0.5000, 0.0000, 0.2463], [0.0000, 0.5000, 0.7537]]}


No. 4
{"formula": "ZnP2RuS", "functional": "PBE-GGA", "state": "optimized geometry", "polymorph_energy_ev_per_fu": 3.893, "magmom_total_mub_per_fu": 1.2, "formation_energy_uncorrected_ev_per_atom": 1.303, "sg": "P4/mmm, No. 123", "lattice": [[4.4780, 0.0000, 0.0000], [0.0000, 4.4780, 0.0000], [0.0000, 0.0000, 4.5956]], "species": ["P", "P", "Zn", "S", "Ru"], "fractional_positions": [[0.0000, 0.5000, 0.0000], [0.5000, 0.0000, 0.0000], [0.0000, 0.0000, 0.0000], [0.0000, 0.0000, 0.5000], [0.5000, 0.5000, 0.5000]]}


No. 5
{"formula": "Li3PmBr6", "functional": "PBE-GGA", "state": "optimized geometry", "polymorph_energy_ev_per_fu": 0.456, "magmom_total_mub_per_fu": 0.0, "formation_energy_uncorrected_ev_per_atom": -1.598, "sg": "P-1, No. 2", "lattice": [[7.0366, 0.1117, 3.5013], [2.4054, 6.6421, 3.6478], [0.3727, 0.1010, 7.9428]], "species": ["Br", "Br", "Br", "Br", "Br", "Br", "Pm", "Li", "Li", "Li"], "fractional_positions": [[0.2747, 0.7225, 0.2323], [0.7253, 0.2775, 0.7677], [0.7335, 0.2557, 0.2560], [0.2778, 0.2293, 0.7257], [0.2665, 0.7443, 0.7440], [0.7222, 0.7707, 0.2743], [0.0000, 0.0000, 0.0000], [0.5000, 0.0000, 0.5000], [0.5000, 0.5000, 0.5000], [0.5000, 0.5000, 0.0000]]}


No. 6
{"formula": "Bi3RhAu", "functional": "PBE-GGA", "state": "optimized geometry", "polymorph_energy_ev_per_fu": 2.294, "magmom_total_mub_per_fu": 0.0, "formation_enthalpy_0k_ev_per_fu": 1.84, "sg": "Pm-3m, No. 221", "lattice": [[-3.6168, -2.6233, 2.8241], [3.7080, -1.3101, 3.5318], [-1.0528, 4.3978, 2.7367]], "species": ["Bi", "Bi", "Bi", "Au", "Rh"], "fractional_positions": [[0.0000, 0.5000, 0.0000], [0.5000, 0.0000, 0.0000], [0.0000, 0.0000, 0.5000], [0.5000, 0.5000, 0.5000], [0.0000, 0.0000, 0.0000]]}